(1)
# CaSb2Ru

An optimized crystal structure of CaSb2Ru (PBE, Alexandria).

Unit cell a=3.355 b=3.355 c=7.804 alpha=90.00 beta=90.00 gamma=90.00
Element x y z (fractional)
Ca 0.000 0.000 0.000
Sb 0.500 0.500 0.296
Sb 0.500 0.500 0.704
Ru 0.000 0.000 0.500

E_tot (eV/atom): -5.134
Symmetry: P4/mmm, No. 123
Volume (Å³/atom): 21.97
Density of states at the Fermi level (states/eV/cell): 3.0
Energy relative to the elements, uncorrected (eV/atom): -0.254

---

(2)
# CuHgB2

An optimized crystal structure of CuHgB2 (PBE, Alexandria).

Unit cell a=3.699 b=3.699 c=14.874 alpha=90.00 beta=90.00 gamma=90.00
Element x y z (fractional)
Cu 0.000 0.250 0.375
Cu 0.000 0.750 0.625
Cu 0.500 0.250 0.125
Cu 0.500 0.750 0.875
Hg 0.000 0.250 0.875
Hg 0.000 0.750 0.125
Hg 0.500 0.250 0.625
Hg 0.500 0.750 0.375
B 0.000 0.000 0.500
B 0.000 0.500 0.500
B 0.250 0.250 0.250
B 0.250 0.750 0.750
B 0.500 0.000 0.000
B 0.500 0.500 0.000
B 0.750 0.250 0.250
B 0.750 0.750 0.750

E_tot (eV/atom): -3.699
Symmetry: I4_1/amd, No. 141
Volume (Å³/atom): 12.72
E_form (eV per atom): 0.739
Density of states at the Fermi level (states/eV/cell): 4.7

---

(3)
# Tb2CeCu9

An optimized crystal structure of Tb2CeCu9 (PBE, Alexandria).

Unit cell a=5.226 b=5.226 c=16.523 alpha=90.00 beta=90.00 gamma=120.00
Element x y z (fractional)
Tb 0.333 0.667 0.036
Tb 0.333 0.667 0.464
Tb 0.667 0.333 0.536
Tb 0.667 0.333 0.964
Ce 0.333 0.667 0.250
Ce 0.667 0.333 0.750
Cu 0.000 0.000 0.000
Cu 0.000 0.000 0.250
Cu 0.000 0.000 0.500
Cu 0.000 0.000 0.750
Cu 0.167 0.333 0.626
Cu 0.167 0.333 0.874
Cu 0.167 0.833 0.626
Cu 0.167 0.833 0.874
Cu 0.333 0.167 0.126
Cu 0.333 0.167 0.374
Cu 0.333 0.667 0.750
Cu 0.667 0.333 0.250
Cu 0.667 0.833 0.626
Cu 0.667 0.833 0.874
Cu 0.833 0.167 0.126
Cu 0.833 0.167 0.374
Cu 0.833 0.667 0.126
Cu 0.833 0.667 0.374

E_tot (eV/atom): -4.489
Symmetry: P6_3/mmc, No. 194
Volume (Å³/atom): 16.29
E_form (eV per atom): -0.150
Density of states at the Fermi level (states/eV/cell): 27.2

---

(4)
# Tb3ErS

An optimized crystal structure of Tb3ErS (PBE, Alexandria).

Unit cell a=5.312 b=5.312 c=5.312 alpha=90.00 beta=90.00 gamma=90.00
Element x y z (fractional)
Tb 0.000 0.000 0.500
Tb 0.000 0.500 0.000
Tb 0.500 0.000 0.000
Er 0.500 0.500 0.500
S 0.000 0.000 0.000

E_tot (eV/atom): -5.170
Symmetry: Pm-3m, No. 221
Volume (Å³/atom): 29.98
Density of states at the Fermi level (states/eV/cell): 7.0
Energy relative to the elements, uncorrected (eV/atom): -0.654

---

(5)
# Ac2ErAl4Pt3

An optimized crystal structure of Ac2ErAl4Pt3 (PBE, Alexandria).

Unit cell a=4.377 b=4.377 c=11.667 alpha=90.00 beta=90.00 gamma=90.00
Element x y z (fractional)
Ac 0.000 0.500 0.230
Ac 0.500 0.000 0.770
Er 0.000 0.000 0.500
Al 0.000 0.000 0.000
Al 0.000 0.500 0.663
Al 0.500 0.000 0.337
Al 0.500 0.500 0.000
Pt 0.000 0.500 0.881
Pt 0.500 0.000 0.119
Pt 0.500 0.500 0.500

E_tot (eV/atom): -5.467
Symmetry: P-4m2, No. 115
Volume (Å³/atom): 22.35
E_form (eV per atom): -0.880
Density of states at the Fermi level (states/eV/cell): 9.2

---

(6)
# NaMgNpO6

An optimized crystal structure of NaMgNpO6 (PBE, Alexandria).

Unit cell a=5.043 b=5.043 c=9.724 alpha=90.00 beta=90.00 gamma=90.00
Element x y z (fractional)
Na 0.000 0.000 0.000
Na 0.500 0.500 0.500
Mg 0.000 0.000 0.330
Mg 0.500 0.500 0.830
Np 0.000 0.000 0.661
Np 0.500 0.500 0.161
O 0.177 0.177 0.507
O 0.205 0.205 0.797
O 0.213 0.213 0.184
O 0.287 0.713 0.684
O 0.295 0.705 0.297
O 0.323 0.677 0.007
O 0.677 0.323 0.007
O 0.705 0.295 0.297
O 0.713 0.287 0.684
O 0.787 0.787 0.184
O 0.795 0.795 0.797
O 0.823 0.823 0.507

E_tot (eV/atom): -7.011
Symmetry: P4_2nm, No. 102
Volume (Å³/atom): 13.74
Density of states at the Fermi level (states/eV/cell): 10.7
Energy relative to the elements, uncorrected (eV/atom): -1.944